Density functional theory data (GGA-PBE) for BaLaSm4Se8 after structural relaxation.

Output
- E (eV/atom) = -5.643

```
BaLaSm4Se8
1.0
8.754 0.000 0.000
4.377 7.581 0.000
4.377 2.527 7.275
Ba La Sm Se
1 1 4 8
Cartesian
8.754 5.054 6.405 Ba
4.377 2.527 7.242 La
8.754 5.054 0.896 Sm
4.377 5.027 3.648 Sm
6.542 1.277 3.648 Sm
2.212 1.277 3.648 Sm
8.754 7.883 5.288 Se
11.204 3.640 5.288 Se
6.304 3.640 5.288 Se
4.377 2.527 2.181 Se
8.754 2.409 1.912 Se
6.463 6.377 1.912 Se
11.045 6.377 1.912 Se
13.131 7.581 5.298 Se
```

Density functional theory data (GGA-PBE) for YTl3I2O9 after structural relaxation.

Output
- E (eV/atom) = -5.020

```
YTl3I2O9
1.0
6.017 0.000 0.000
-3.009 5.211 0.000
0.000 0.000 7.319
Y Tl I O
1 3 2 9
Cartesian
0.000 0.000 3.659 Y
0.000 3.474 5.015 Tl
0.000 0.000 0.000 Tl
3.009 1.737 2.304 Tl
0.000 3.474 1.269 I
3.009 1.737 6.050 I
4.377 0.947 4.967 O
3.009 3.317 4.967 O
1.640 0.947 4.967 O
1.368 4.264 2.352 O
0.000 1.894 2.352 O
-1.368 4.264 2.352 O
3.009 0.000 0.000 O
-1.504 2.606 0.000 O
1.504 2.606 0.000 O
```

Magnetization (computed, μB per cell): 0.00 0.00